[1]
This record from Alexandria describes a relaxed RbInAgBr6 crystal. The functional is PBE.

Calculated values
**Calculated volume**: 37.86 A^3/atom
**Symmetry**: C2
**Energy relative to the elements, uncorrected**: -0.815 eV/atom

Lattice parameters (Å, degrees): 7.5758 7.0345 7.6171 87.35 85.05 57.40
Closest atoms and distances in Å follow each position.
Atoms (fractional coordinates):
Br1 0.9838 0.6410 0.6833  1 Ag 2.66, 1 In 2.80
Br2 0.9822 0.3792 0.2682  1 In 2.63
Br3 0.6113 0.0037 0.2857  1 Ag 2.65, 1 In 2.77
Br4 0.6378 0.3802 0.7324  1 In 2.63
Br5 0.3848 0.0042 0.7141  1 Ag 2.65, 1 In 2.77
Br6 0.3754 0.6407 0.3165  1 Ag 2.66, 1 In 2.80
Ag1 0.3322 0.3356 0.4998  4 Br 2.65-2.66
Rb1 0.0149 0.9702 0.9998  6 Br 3.49-3.53
In1 0.6773 0.6453 0.5000  6 Br 2.63-2.80

[2]
This record from Alexandria describes a relaxed GeTePdI2 crystal. The functional is PBE.

Calculated values
**Calculated volume**: 35.14 A^3/atom
**Symmetry**: P4/mmm
**Energy relative to the elements, uncorrected**: 0.592 eV/atom

Lattice parameters (Å, degrees): 5.6511 5.6511 5.5021 90.00 90.00 90.00
Closest atoms and distances in Å follow each position.
Atoms (fractional coordinates):
I1 0.0000 0.5000 0.0000  2 Ge 2.83
I2 0.5000 0.0000 0.0000  2 Ge 2.83
Te1 0.0000 0.0000 0.5000  2 Ge 2.75
Pd1 0.5000 0.5000 0.5000  8 I 3.94, 4 Te 4.00
Ge1 0.0000 0.0000 0.0000  2 Te 2.75, 4 I 2.83

[3]
This record from Alexandria describes a relaxed Ca2Cu2Ni5Sn crystal. The functional is PBE.

Calculated values
**Calculated volume**: 15.33 A^3/atom
**Symmetry**: P4/mbm
**Energy of formation**: -130 meV/atom

Lattice parameters (Å, degrees): 3.7186 9.0815 9.0815 90.00 90.00 90.00
Closest atoms and distances in Å follow each position.
Atoms (fractional coordinates):
Ni1 0.5000 0.7135 0.4366  2 Cu 2.46, 1 Ni 2.66, 2 Sn 2.75
Ni2 0.5000 0.0000 0.5000  4 Cu 2.40, 4 Ni 2.66
Ni3 0.5000 0.0634 0.7865  2 Cu 2.46, 1 Ni 2.66, 2 Sn 2.75
Ni4 0.5000 0.4366 0.2865  2 Cu 2.46, 1 Ni 2.66, 2 Sn 2.75
Ni5 0.5000 0.5000 0.0000  4 Cu 2.40, 4 Ni 2.66
Ni6 0.5000 0.2865 0.5634  2 Cu 2.46, 1 Ni 2.66, 2 Sn 2.75
Ni7 0.5000 0.9366 0.2135  2 Cu 2.46, 1 Ni 2.66, 2 Sn 2.75
Ni8 0.5000 0.2135 0.0634  2 Cu 2.46, 1 Ni 2.66, 2 Sn 2.75
Ni9 0.5000 0.5634 0.7135  2 Cu 2.46, 1 Ni 2.66, 2 Sn 2.75
Ni10 0.5000 0.7865 0.9366  2 Cu 2.46, 1 Ni 2.66, 2 Sn 2.75
Cu1 0.0000 0.3822 0.1178  6 Ni 2.40-2.46, 1 Ca 2.62
Cu2 0.0000 0.6178 0.8822  6 Ni 2.40-2.46, 1 Ca 2.62
Cu3 0.0000 0.8822 0.3822  6 Ni 2.40-2.46, 1 Ca 2.62
Cu4 0.0000 0.1178 0.6178  6 Ni 2.40-2.46, 1 Ca 2.62
Ca1 0.0000 0.1783 0.3217  3 Cu 2.62-2.74
Ca2 0.0000 0.3217 0.8217  3 Cu 2.62-2.74
Ca3 0.0000 0.6783 0.1783  3 Cu 2.62-2.74
Ca4 0.0000 0.8217 0.6783  3 Cu 2.62-2.74
Sn1 0.0000 0.5000 0.5000  8 Ni 2.75
Sn2 0.0000 0.0000 0.0000  8 Ni 2.75

[4]
This record from Alexandria describes a relaxed K3Mg2NpO6 crystal. The functional is PBE.

Calculated values
**Calculated volume**: 14.38 A^3/atom
**Symmetry**: C2/m
**Energy relative to the elements, uncorrected**: -2.289 eV/atom

Lattice parameters (Å, degrees): 5.6809 5.6809 6.4578 98.31 98.31 120.11
Closest atoms and distances in Å follow each position.
Atoms (fractional coordinates):
Np1 0.0000 0.0000 0.0000  6 O 2.17
K1 0.5000 0.5000 0.5000  6 O 2.73-2.74
K2 0.1735 0.8265 0.5000  6 O 2.72-2.76
K3 0.8265 0.1735 0.5000  6 O 2.72-2.76
O1 0.2669 0.2669 0.8178  1 Np 2.17, 2 Mg 2.22
O2 0.9395 0.6117 0.8199  1 Np 2.17, 2 Mg 2.20-2.21
O3 0.6117 0.9395 0.8199  1 Np 2.17, 2 Mg 2.20-2.21
O4 0.0605 0.3883 0.1801  1 Np 2.17, 2 Mg 2.20-2.21
O5 0.7331 0.7331 0.1822  1 Np 2.17, 2 Mg 2.22
O6 0.3883 0.0605 0.1801  1 Np 2.17, 2 Mg 2.20-2.21
Mg1 0.6666 0.3334 0.0000  6 O 2.20-2.22
Mg2 0.3334 0.6666 0.0000  6 O 2.20-2.22

[5]
This record from Alexandria describes a relaxed TaCoAgRh2 crystal. The functional is PBE.

Calculated values
**Calculated volume**: 17.96 A^3/atom
**Symmetry**: P4/mmm
**Energy of formation**: 872 meV/atom

Lattice parameters (Å, degrees): 4.5341 4.3681 4.5341 90.00 90.00 90.00
Closest atoms and distances in Å follow each position.
Atoms (fractional coordinates):
Rh1 0.0000 0.0000 0.5000  2 Co 2.27
Rh2 0.5000 0.0000 0.0000  2 Co 2.27
Ag1 0.5000 0.5000 0.5000  8 Rh 3.15, 4 Ta 3.21
Co1 0.0000 0.0000 0.0000  2 Ta 2.18, 4 Rh 2.27
Ta1 0.0000 0.5000 0.0000  2 Co 2.18

[6]
This record from Alexandria describes a relaxed NdTh2Sb2Te2 crystal. The functional is PBE.

Calculated values
**Calculated volume**: 38.33 A^3/atom
**Symmetry**: I4/mmm
**Energy relative to the elements, uncorrected**: -0.558 eV/atom

Lattice parameters (Å, degrees): 5.8412 5.8412 8.8820 109.20 109.20 90.00
Closest atoms and distances in Å follow each position.
Atoms (fractional coordinates):
Th1 0.6108 0.6108 0.2216  1 Te 3.01
Th2 0.3892 0.3892 0.7784  1 Te 3.01
Sb1 0.0000 0.5000 0.0000  2 Nd 2.92
Sb2 0.5000 0.0000 0.0000  2 Nd 2.92
Nd1 0.0000 0.0000 0.0000  4 Sb 2.92, 2 Te 3.11
Te1 0.1975 0.1975 0.3951  1 Th 3.01, 1 Nd 3.11
Te2 0.8025 0.8025 0.6049  1 Th 3.01, 1 Nd 3.11

[7]
This record from Alexandria describes a relaxed GeHRu2 crystal. The functional is PBE.

Calculated values
**Calculated volume**: 12.31 A^3/atom
**Symmetry**: Fm-3m
**Total energy**: -6.22 eV per atom

Lattice parameters (Å, degrees): 4.1145 4.1145 4.1145 60.00 60.00 60.00
Closest atoms and distances in Å follow each position.
Atoms (fractional coordinates):
Ru1 0.2500 0.2500 0.2500  4 Ge 2.52, 4 H 2.52
Ru2 0.7500 0.7500 0.7500  4 H 2.52, 4 Ge 2.52
H1 0.0000 0.0000 0.0000  8 Ru 2.52
Ge1 0.5000 0.5000 0.5000  8 Ru 2.52

[8]
This record from Alexandria describes a relaxed NaSrAcPd crystal. The functional is PBE.

Calculated values
**Calculated volume**: 31.43 A^3/atom
**Symmetry**: F-43m
**Energy of formation**: -140 meV/atom

Lattice parameters (Å, degrees): 5.6233 5.6233 5.6233 60.00 60.00 60.00
Closest atoms and distances in Å follow each position.
Atoms (fractional coordinates):
Ac1 0.7500 0.7500 0.7500  4 Na 3.44, 4 Pd 3.44
Sr1 0.2500 0.2500 0.2500  4 Na 3.44, 4 Pd 3.44
Pd1 0.5000 0.5000 0.5000  4 Ac 3.44, 4 Sr 3.44
Na1 0.0000 0.0000 0.0000  4 Ac 3.44, 4 Sr 3.44

[9]
This record from Alexandria describes a relaxed VGaPd6 crystal. The functional is PBE.

Calculated values
**Calculated volume**: 15.58 A^3/atom
**Symmetry**: P-1
**Energy of formation**: -208 meV/atom

Lattice parameters (Å, degrees): 6.9166 6.9567 5.1823 42.30 47.97 60.56
Closest atoms and distances in Å follow each position.
Atoms (fractional coordinates):
Ga1 0.0000 0.0000 0.0000  6 Pd 2.51-2.74
Pd1 0.9602 0.5138 0.7753  6 Pd 2.59-2.89, 2 Ga 2.64-2.74, 1 V 2.83
Pd2 0.5710 0.2502 0.1034  1 V 2.49, 1 Ga 2.51, 4 Pd 2.60-2.78
Pd3 0.7485 0.0135 0.7126  6 Pd 2.59-2.89, 2 V 2.63-2.73, 1 Ga 2.89
Pd4 0.4290 0.7498 0.8966  1 V 2.49, 1 Ga 2.51, 4 Pd 2.60-2.78
Pd5 0.2515 0.9865 0.2874  6 Pd 2.59-2.89, 2 V 2.63-2.73, 1 Ga 2.89
Pd6 0.0398 0.4862 0.2247  6 Pd 2.59-2.89, 2 Ga 2.64-2.74, 1 V 2.83
V1 0.5000 0.5000 0.5000  6 Pd 2.49-2.73

[10]
This record from Alexandria describes a relaxed Li7Bi2H2 crystal. The functional is PBE.

Calculated values
**Calculated volume**: 18.40 A^3/atom
**Symmetry**: C2/m
**Total energy**: -2.86 eV per atom

Lattice parameters (Å, degrees): 6.1744 5.3845 6.1744 86.65 98.56 93.35
Closest atoms and distances in Å follow each position.
Atoms (fractional coordinates):
Li1 0.4416 0.7576 0.8985  1 H 1.86
Li2 0.8985 0.2424 0.4416  1 H 1.86
Li3 0.3753 0.2449 0.6247  1 H 1.81
Li4 0.0000 0.0000 0.0000  2 H 2.28
Li5 0.1015 0.7576 0.5584  1 H 1.86
Li6 0.5584 0.2424 0.1015  1 H 1.86
Li7 0.6247 0.7551 0.3753  1 H 1.81
Bi1 0.7850 0.5000 0.7850  6 Li 2.79-2.88
Bi2 0.2150 0.5000 0.2150  6 Li 2.79-2.88
H1 0.7572 0.0182 0.2428  3 Li 1.81-1.86
H2 0.2428 0.9818 0.7572  3 Li 1.81-1.86

[11]
This record from Alexandria describes a relaxed NbZnAsSe2 crystal. The functional is PBE.

Calculated values
**Calculated volume**: 25.82 A^3/atom
**Symmetry**: P4/mmm
**Energy relative to the elements, uncorrected**: 0.089 eV/atom

Lattice parameters (Å, degrees): 5.0090 5.0090 5.1457 90.00 90.00 90.00
Closest atoms and distances in Å follow each position.
Atoms (fractional coordinates):
Nb1 0.0000 0.0000 0.0000  4 Se 2.50, 2 As 2.57
As1 0.0000 0.0000 0.5000  2 Nb 2.57
Se1 0.5000 0.0000 0.0000  2 Nb 2.50
Se2 0.0000 0.5000 0.0000  2 Nb 2.50
Zn1 0.5000 0.5000 0.5000  4 As 3.54, 8 Se 3.59

[12]
This record from Alexandria describes a relaxed Ac6LaCo3 crystal. The functional is PBE.

Calculated values
**Calculated volume**: 34.17 A^3/atom
**Symmetry**: P2_1/m
**Energy of formation**: 28 meV/atom

Lattice parameters (Å, degrees): 4.1273 12.9297 13.1343 102.81 90.00 90.00
Closest atoms and distances in Å follow each position.
Atoms (fractional coordinates):
La1 0.2500 0.3743 0.9758  6 Ac 3.72-4.08, 4 La 3.78-4.13
La2 0.7500 0.6257 0.0242  6 Ac 3.72-4.08, 4 La 3.78-4.13
Ac1 0.7500 0.0447 0.3885  4 Co 2.93-3.16
Ac2 0.7500 0.0995 0.9338  3 Co 2.87-3.04
Ac3 0.2500 0.1956 0.1955  2 Co 2.77
Ac4 0.2500 0.3645 0.4780  4 Co 2.92
Ac5 0.2500 0.9553 0.6115  4 Co 2.93-3.16
Ac6 0.2500 0.5265 0.7667  2 Co 2.77
Ac7 0.7500 0.6355 0.5220  4 Co 2.92
Ac8 0.7500 0.2472 0.6787  3 Co 2.91-2.96
Ac9 0.2500 0.7528 0.3213  3 Co 2.91-2.96
Ac10 0.7500 0.8044 0.8045  2 Co 2.77
Ac11 0.7500 0.4735 0.2333  2 Co 2.77
Ac12 0.2500 0.9005 0.0662  3 Co 2.87-3.04
Co1 0.2500 0.1562 0.5295  6 Ac 2.91-3.02
Co2 0.2500 0.9505 0.8510  5 Ac 2.77-3.04
Co3 0.7500 0.0495 0.1490  5 Ac 2.77-3.04
Co4 0.7500 0.4591 0.6273  6 Ac 2.77-2.96
Co5 0.7500 0.8438 0.4705  6 Ac 2.91-3.02
Co6 0.2500 0.5409 0.3727  6 Ac 2.77-2.96

[13]
This record from Alexandria describes a relaxed Sb2WCl crystal. The functional is PBE.

Calculated values
**Calculated volume**: 22.17 A^3/atom
**Symmetry**: P4/mmm
**Energy relative to the elements, uncorrected**: 0.200 eV/atom

Lattice parameters (Å, degrees): 3.3597 3.3597 7.8555 90.00 90.00 90.00
Closest atoms and distances in Å follow each position.
Atoms (fractional coordinates):
W1 0.5000 0.5000 0.2500  8 Sb 2.88
Sb1 0.0000 0.0000 0.4580  4 W 2.88
Sb2 0.0000 0.0000 0.0420  4 W 2.88
Cl1 0.5000 0.5000 0.7500  8 Sb 3.30, 4 Cl 3.36